The following is a DFT calculation (PBE+U) of an optimized crystal structure of AlCuNiF6.

Computed properties:
Its calculated volume is 214.6 Å³ per cell. As for the energy: -43.661 eV per formula unit. As for the symmetry: P-31c.

Cell lengths 5.1317, 5.1317, 9.4101 Å; angles 90.00, 90.00, 120.00 degrees
Last column: nearest neighbours and their distance in Å.
Fractional coordinates of all 18 atoms:
F  0.3773  0.0286  0.1414  1 Al 1.84, 1 Ni 2.03
F  0.6227  0.9714  0.8586  1 Al 1.84, 1 Ni 2.03
F  0.3486  0.3773  0.8586  1 Al 1.84, 1 Ni 2.03
F  0.0286  0.6514  0.8586  1 Al 1.84, 1 Ni 2.03
F  0.9714  0.3486  0.1414  1 Al 1.84, 1 Ni 2.03
F  0.6514  0.6227  0.1414  1 Al 1.84, 1 Ni 2.03
F  0.3773  0.3486  0.3587  1 Al 1.84, 1 Ni 2.03
F  0.6514  0.0286  0.3587  1 Al 1.84, 1 Ni 2.03
F  0.3486  0.9714  0.6414  1 Al 1.84, 1 Ni 2.03
F  0.6227  0.6514  0.6414  1 Al 1.84, 1 Ni 2.03
F  0.9714  0.6227  0.3587  1 Al 1.84, 1 Ni 2.03
F  0.0286  0.3773  0.6414  1 Al 1.84, 1 Ni 2.03
Al  0.3333  0.6667  0.7500  6 F 1.84
Al  0.6667  0.3333  0.2500  6 F 1.84
Ni  0.3333  0.6667  0.2500  6 F 2.03
Ni  0.6667  0.3333  0.7500  6 F 2.03
Cu  0.0000  0.0000  0.5000  6 F 2.29
Cu  0.0000  0.0000  0.0000  6 F 2.29